1.
# Hf13In3 (PBE, optimized geometry)
data_Hf13In3
_chemical_formula_sum 'Hf13 In3'
_space_group_name_H-M_alt 'P 1'
_space_group_IT_number 1
_cell_length_a 6.4246
_cell_length_b 6.4246
_cell_length_c 8.5991
_cell_angle_alpha 90.00
_cell_angle_beta 90.00
_cell_angle_gamma 89.70
loop_
_space_group_symop_operation_xyz
'x,y,z'
loop_
_atom_site_label
_atom_site_type_symbol
_atom_site_fract_x
_atom_site_fract_y
_atom_site_fract_z
Hf1 Hf 0.4950 0.9967 0.2480
Hf2 Hf 0.4989 0.5011 0.2545
Hf3 Hf 0.0033 0.5050 0.2480
Hf4 Hf 0.7448 0.7381 0.0000
Hf5 Hf 0.2619 0.2552 0.0000
Hf6 Hf 0.2515 0.7485 0.0000
Hf7 Hf 0.4950 0.9967 0.7520
Hf8 Hf 0.4989 0.5011 0.7455
Hf9 Hf 0.0033 0.5050 0.7520
Hf10 Hf 0.7443 0.2557 0.5000
Hf11 Hf 0.7479 0.7498 0.5000
Hf12 Hf 0.2502 0.2521 0.5000
Hf13 Hf 0.2556 0.7444 0.5000
In1 In 0.9998 0.0002 0.2512
In2 In 0.7496 0.2504 0.0000
In3 In 0.9998 0.0002 0.7488
# Energy relative to the elements: -54.3 meV per atom



2.
# CsPm2HgS4 (PBE, optimized geometry)
data_CsPm2HgS4
_chemical_formula_sum 'Cs2 Pm4 Hg2 S8'
_space_group_name_H-M_alt 'P 1'
_space_group_IT_number 1
_cell_length_a 4.2462
_cell_length_b 7.4854
_cell_length_c 14.8164
_cell_angle_alpha 90.00
_cell_angle_beta 90.00
_cell_angle_gamma 106.48
loop_
_space_group_symop_operation_xyz
'x,y,z'
loop_
_atom_site_label
_atom_site_type_symbol
_atom_site_fract_x
_atom_site_fract_y
_atom_site_fract_z
Cs1 Cs 0.1172 0.2345 0.7500
Cs2 Cs 0.8828 0.7655 0.2500
Pm1 Pm 0.3747 0.7495 0.5546
Pm2 Pm 0.6253 0.2505 0.0546
Pm3 Pm 0.6253 0.2505 0.4454
Pm4 Pm 0.3747 0.7495 0.9454
Hg1 Hg 0.8333 0.6667 0.7500
Hg2 Hg 0.1667 0.3333 0.2500
S1 S 0.2572 0.5145 0.0971
S2 S 0.7428 0.4855 0.5971
S3 S 0.7428 0.4855 0.9029
S4 S 0.2572 0.5145 0.4029
S5 S 0.0000 0.0000 0.5000
S6 S 0.0000 0.0000 0.0000
S7 S 0.4351 0.8703 0.7500
S8 S 0.5649 0.1297 0.2500
# E_form (uncorrected): -1383 meV per atom



3.
# LiTbSmMn (PBE, optimized geometry)
data_LiTbSmMn
_chemical_formula_sum 'Li1 Tb1 Sm1 Mn1'
_space_group_name_H-M_alt 'P 1'
_space_group_IT_number 1
_cell_length_a 5.0886
_cell_length_b 5.0886
_cell_length_c 5.0886
_cell_angle_alpha 60.00
_cell_angle_beta 60.00
_cell_angle_gamma 60.00
loop_
_space_group_symop_operation_xyz
'x,y,z'
loop_
_atom_site_label
_atom_site_type_symbol
_atom_site_fract_x
_atom_site_fract_y
_atom_site_fract_z
Mn1 Mn 0.2500 0.2500 0.2500
Tb1 Tb 0.5000 0.5000 0.5000
Sm1 Sm 0.0000 0.0000 0.0000
Li1 Li 0.7500 0.7500 0.7500
# Energy relative to the elements: 141.3 meV per atom



4.
# Tc3Br (PBE, optimized geometry)
data_Tc3Br
_chemical_formula_sum 'Tc3 Br1'
_space_group_name_H-M_alt 'P 1'
_space_group_IT_number 1
_cell_length_a 2.8214
_cell_length_b 2.8214
_cell_length_c 9.2139
_cell_angle_alpha 90.00
_cell_angle_beta 90.00
_cell_angle_gamma 117.38
loop_
_space_group_symop_operation_xyz
'x,y,z'
loop_
_atom_site_label
_atom_site_type_symbol
_atom_site_fract_x
_atom_site_fract_y
_atom_site_fract_z
Tc1 Tc 0.5000 0.5000 0.7333
Tc2 Tc 0.0000 0.0000 0.5000
Tc3 Tc 0.5000 0.5000 0.2667
Br1 Br 0.0000 0.0000 0.0000
# Energy above the lowest structure with this stoichiometry: 6.45 kcal/mol of atoms
# E_form (uncorrected): 789 meV per atom



5.
# LiPrSmIr (PBE, optimized geometry)
data_LiPrSmIr
_chemical_formula_sum 'Li1 Pr1 Sm1 Ir1'
_space_group_name_H-M_alt 'P 1'
_space_group_IT_number 1
_cell_length_a 5.0777
_cell_length_b 5.0777
_cell_length_c 5.0777
_cell_angle_alpha 60.00
_cell_angle_beta 60.00
_cell_angle_gamma 60.00
loop_
_space_group_symop_operation_xyz
'x,y,z'
loop_
_atom_site_label
_atom_site_type_symbol
_atom_site_fract_x
_atom_site_fract_y
_atom_site_fract_z
Pr1 Pr 0.7500 0.7500 0.7500
Ir1 Ir 0.5000 0.5000 0.5000
Sm1 Sm 0.2500 0.2500 0.2500
Li1 Li 0.0000 0.0000 0.0000
# Energy relative to the elements: -407.0 meV per atom



6.
# CdInCo4 (PBE, optimized geometry)
data_CdInCo4
_chemical_formula_sum 'Cd1 In1 Co4'
_space_group_name_H-M_alt 'P 1'
_space_group_IT_number 1
_cell_length_a 4.9204
_cell_length_b 4.9204
_cell_length_c 4.9204
_cell_angle_alpha 60.00
_cell_angle_beta 60.00
_cell_angle_gamma 60.00
loop_
_space_group_symop_operation_xyz
'x,y,z'
loop_
_atom_site_label
_atom_site_type_symbol
_atom_site_fract_x
_atom_site_fract_y
_atom_site_fract_z
Cd1 Cd 0.0000 0.0000 0.0000
In1 In 0.7500 0.7500 0.7500
Co1 Co 0.8748 0.3751 0.3751
Co2 Co 0.3751 0.3751 0.8748
Co3 Co 0.3751 0.8748 0.3751
Co4 Co 0.3751 0.3751 0.3751
# Energy relative to the elements: 193.9 meV per atom



7.
# CaNd2Ni (PBE, optimized geometry)
data_CaNd2Ni
_chemical_formula_sum 'Ca2 Nd4 Ni2'
_space_group_name_H-M_alt 'P 1'
_space_group_IT_number 1
_cell_length_a 3.8753
_cell_length_b 6.5657
_cell_length_c 9.6835
_cell_angle_alpha 90.00
_cell_angle_beta 90.00
_cell_angle_gamma 107.17
loop_
_space_group_symop_operation_xyz
'x,y,z'
loop_
_atom_site_label
_atom_site_type_symbol
_atom_site_fract_x
_atom_site_fract_y
_atom_site_fract_z
Ca1 Ca 0.9178 0.8359 0.2500
Ca2 Ca 0.0822 0.1641 0.7500
Nd1 Nd 0.3588 0.7180 0.5692
Nd2 Nd 0.6412 0.2820 0.4308
Nd3 Nd 0.3588 0.7180 0.9308
Nd4 Nd 0.6412 0.2820 0.0692
Ni1 Ni 0.7717 0.5435 0.7500
Ni2 Ni 0.2283 0.4565 0.2500
# Energy above the lowest structure with this stoichiometry: 0.47 kcal/mol of atoms
# Energy relative to the elements: -106.0 meV per atom



8.
# RbBPb (PBE, optimized geometry)
data_RbBPb
_chemical_formula_sum 'Rb2 B2 Pb2'
_space_group_name_H-M_alt 'P 1'
_space_group_IT_number 1
_cell_length_a 4.0896
_cell_length_b 7.6432
_cell_length_c 7.2223
_cell_angle_alpha 70.28
_cell_angle_beta 75.51
_cell_angle_gamma 97.61
loop_
_space_group_symop_operation_xyz
'x,y,z'
loop_
_atom_site_label
_atom_site_type_symbol
_atom_site_fract_x
_atom_site_fract_y
_atom_site_fract_z
Pb1 Pb 0.3007 0.6871 0.7191
Pb2 Pb 0.7098 0.0969 0.4769
B1 B 0.2454 0.9457 0.3783
B2 B 0.9012 0.7826 0.4791
Rb1 Rb 0.0077 0.1076 0.9492
Rb2 Rb 0.4371 0.5629 0.2547
# Energy relative to the elements: 392.3 meV per atom



Per-record uncorrected energy, eV per atom: -8.65; -4.78; -4.97; -7.40; -5.48; -5.15; -4.44; -3.39